[1]
# PBE CuMoBr2, optimized geometry
# - Total DFT energy (no corrections): -0.2892 Ry per atom
# - Size of the total moment: 0.00 μB per formula unit
# - Formation energy from raw total energies: 61.1 kJ per mole of atoms
data_CuMoBr2
_chemical_formula_sum 'Cu1 Mo1 Br2'
_cell_length_a 3.171
_cell_length_b 4.255
_cell_length_c 5.929
_cell_angle_alpha 90.00
_cell_angle_beta 96.91
_cell_angle_gamma 90.00
_symmetry_space_group_name_H-M 'P 1 2/m 1'
_symmetry_Int_Tables_number 10
_symmetry_space_group_name_Hall '-P 2y'
loop_
_atom_site_label
_atom_site_type_symbol
_atom_site_fract_x
_atom_site_fract_y
_atom_site_fract_z
_atom_site_occupancy
Cu1 Cu 0.000 0.000 0.000 1
Mo1 Mo 0.000 0.000 0.500 1
Br1 Br 0.197 0.500 0.745 1

---

[2]
# PBE ErAlNi4, optimized geometry
# - Total DFT energy (no corrections): -0.4130 Ry per atom
# - Size of the total moment: 0.00 μB per formula unit
data_ErAlNi4
_chemical_formula_sum 'Er4 Al4 Ni16'
_cell_length_a 3.810
_cell_length_b 15.277
_cell_length_c 5.795
_cell_angle_alpha 90.00
_cell_angle_beta 90.00
_cell_angle_gamma 90.00
_symmetry_space_group_name_H-M 'C m c m'
_symmetry_Int_Tables_number 63
_symmetry_space_group_name_Hall '-C 2c 2'
loop_
_atom_site_label
_atom_site_type_symbol
_atom_site_fract_x
_atom_site_fract_y
_atom_site_fract_z
_atom_site_occupancy
Er1 Er 0.000 0.099 0.250 1
Al1 Al 0.000 0.231 0.750 1
Ni1 Ni 0.000 0.077 0.750 1
Ni2 Ni 0.000 0.335 0.047 1
Ni3 Ni 0.000 0.500 0.000 1

---

[3]
# PBE Pr8Si3Te4Br, optimized geometry
# - Total DFT energy (no corrections): -0.4049 Ry per atom
# - Size of the total moment: 0.00 μB per formula unit
# - Formation energy from raw total energies: -117.0 kJ per mole of atoms
data_Pr8Si3Te4Br
_chemical_formula_sum 'Pr24 Si9 Te12 Br3'
_cell_length_a 8.8003
_cell_length_b 8.8003
_cell_length_c 22.1112
_cell_angle_alpha 90.00
_cell_angle_beta 90.00
_cell_angle_gamma 120.00
_symmetry_space_group_name_H-M 'R -3 m'
_symmetry_Int_Tables_number 166
_symmetry_space_group_name_Hall '-R 3 2"'
loop_
_atom_site_label
_atom_site_type_symbol
_atom_site_fract_x
_atom_site_fract_y
_atom_site_fract_z
_atom_site_occupancy
Pr1 Pr 0.0000 0.0000 0.2412 1
Pr2 Pr 0.0154 0.5077 0.7581 1
Si1 Si 0.0000 0.5000 0.5000 1
Te1 Te 0.0000 0.0000 0.0000 1
Te2 Te 0.0000 0.5000 0.0000 1
Br1 Br 0.0000 0.0000 0.5000 1